Record 1
Here is Hf3TcAu after structural relaxation from Alexandria via LeMat-Bulk. Energies are from PBE.

Results
* V: 121 Å³/f.u.
* energy of formation from the pure elements: 0.4597 eV per atom
* energy above the most stable polymorph in this dataset: 0 meV/atom

Cell: 4.9487 4.9487 4.9487 Å, 90.00 90.00 90.00°
Fractional positions:
1 Hf 0.5000 0.0000 0.0000
2 Hf 0.0000 0.5000 0.0000
3 Tc 0.0000 0.0000 0.0000
4 Au 0.5000 0.5000 0.5000
5 Hf 0.0000 0.0000 0.5000

---

Record 2
Here is HfTcAu3 after structural relaxation from Alexandria via LeMat-Bulk. Energies are from PBE.

Results
* V: 119 Å³/f.u.
* energy of formation from the pure elements: 1.1946 eV per atom
* energy above the most stable polymorph in this dataset: 0 meV/atom

Cell: 4.9138 4.9138 4.9138 Å, 90.00 90.00 90.00°
Fractional positions:
1 Tc 0.0000 0.0000 0.0000
2 Au 0.5000 0.0000 0.0000
3 Au 0.0000 0.0000 0.5000
4 Hf 0.5000 0.5000 0.5000
5 Au 0.0000 0.5000 0.0000

---

Record 3
Here is Hf4Tc3Au after structural relaxation from Alexandria via LeMat-Bulk. Energies are from PBE.

Results
* V: 143 Å³/f.u.
* energy of formation from the pure elements: -0.5326 eV per atom

Cell: 4.6343 6.6619 9.2689 Å, 90.00 90.00 90.00°
Fractional positions:
1 Hf 0.0000 0.7615 0.2500
2 Tc 0.4999 0.5000 0.2500
3 Tc 0.5000 0.0000 0.2500
4 Hf 0.5000 0.2385 0.0000
5 Tc 0.5000 0.0000 0.7500
6 Tc 0.5001 0.5000 0.7500
7 Hf 0.0000 0.2385 0.7500
8 Hf 0.0000 0.7615 0.7500
9 Hf 0.0000 0.2385 0.2500
10 Hf 0.5000 0.2385 0.5000
11 Hf 0.5000 0.7615 0.0000
12 Hf 0.5000 0.7615 0.5000
13 Tc 0.0000 0.0000 0.0000
14 Tc 0.0000 0.0000 0.5000
15 Au 0.0000 0.5000 0.5000
16 Au 0.0000 0.5000 0.0000

---

Record 4
Here is Hf3TcAu after structural relaxation from Alexandria via LeMat-Bulk. Energies are from PBE.

Results
* V: 126 Å³/f.u.
* energy of formation from the pure elements: 1.1958 eV per atom
* energy above the most stable polymorph in this dataset: 736 meV/atom

Cell: 5.0153 5.0153 5.0153 Å, 90.00 90.00 90.00°
Fractional positions:
1 Au 0.0000 0.0000 0.0000
2 Tc 0.5000 0.5000 0.5000
3 Hf 0.0000 0.0000 0.5000
4 Hf 0.5000 0.0000 0.0000
5 Hf 0.0000 0.5000 0.0000

---

Record 5
Here is Hf5Tc4Au after structural relaxation from Alexandria via LeMat-Bulk. Energies are from PBE.

Results
* V: 179 Å³/f.u.
* energy of formation from the pure elements: -0.5260 eV per atom

Cell: 3.2965 3.2965 16.4405 Å, 90.00 90.00 90.00°
Fractional positions:
1 Hf 0.5000 0.5000 0.5000
2 Hf 0.5000 0.5000 0.6961
3 Tc 0.0000 0.0000 0.2005
4 Tc 0.0000 0.0000 0.7995
5 Hf 0.5000 0.5000 0.1114
6 Tc 0.0000 0.0000 0.4006
7 Hf 0.5000 0.5000 0.8886
8 Au 0.0000 0.0000 0.0000
9 Tc 0.0000 0.0000 0.5994
10 Hf 0.5000 0.5000 0.3039

---

Record 6
Here is HfTiTcAu after structural relaxation from Alexandria via LeMat-Bulk. Energies are from PBE.

Results
* V: 69 Å³/f.u.
* energy of formation from the pure elements: -0.3851 eV per atom

Cell: 4.6092 4.6092 4.6092 Å, 60.00 60.00 60.00°
Fractional positions:
1 Hf 0.5000 0.5000 0.5000
2 Ti 0.0000 0.0000 0.0000
3 Au 0.2500 0.2500 0.2500
4 Tc 0.7500 0.7500 0.7500

---

Record 7
Here is TmHfTcAu after structural relaxation from Alexandria via LeMat-Bulk. Energies are from PBE.

Results
* V: 78 Å³/f.u.
* energy of formation from the pure elements: -0.4147 eV per atom

Cell: 4.7934 4.7934 4.7934 Å, 60.00 60.00 60.00°
Fractional positions:
1 Tc 0.5000 0.5000 0.5000
2 Au 0.0000 0.0000 0.0000
3 Hf 0.2500 0.2500 0.2500
4 Tm 0.7500 0.7500 0.7500

---

Record 8
Here is Hf2VTcAu after structural relaxation from Alexandria via LeMat-Bulk. Energies are from PBE.

Results
* V: 124 Å³/f.u.
* energy of formation from the pure elements: 1.4527 eV per atom

Cell: 5.0510 4.8747 5.0510 Å, 90.00 90.00 90.00°
Site moments in Bohr magnetons follow the coordinates.
Fractional positions:
1 Hf 0.0000 0.0000 0.5000  0.08
2 Au 0.0000 0.0000 0.0000  0.09
3 Hf 0.5000 0.0000 0.0000  -0.08
4 Tc 0.0000 0.5000 0.0000  1.09
5 V 0.5000 0.5000 0.5000  2.66

---

Number 1: theoretical density 11.38 g/cm³. Number 2: theoretical density 12.14 g/cm³. Number 3: theoretical density 13.98 g/cm³. Number 4: theoretical density 10.93 g/cm³. Number 5: theoretical density 13.77 g/cm³. Number 6: theoretical density 12.50 g/cm³. Number 7: theoretical density 13.70 g/cm³. Number 8: theoretical density 9.38 g/cm³.